Density functional theory data (PBE-GGA) for a relaxed structure of CrCdH.

## Properties
The total energy comes out at -4.24 eV/atom. Its symmetry is C2/m. The calculation puts the total moment at 0.00 μB per atom. As for the density of states at the Fermi level: 0.49 states/eV per atom.

```
CrCdH
1.0
2.9644 0.0000 0.0000
-1.4822 10.2315 -0.5548
0.0000 -6.2770 2.9194
Cr H Cd
2 2 2
direct
0.7994 0.5988 0.5336
0.2006 0.4012 0.4664
0.3609 0.7218 0.0695
0.6391 0.2782 0.9305
0.4237 0.8474 0.5377
0.5763 0.1526 0.4623
```